(1)
# Pb2BrOF PBE-GGA optimized geometry
# DOS(E_F) = 0.0 states/eV/cell
# V = 461.05 Å³/cell
# ΔE_f (raw) = -35.03 kcal/mol of atoms
# E_tot = -94.06 eV for the cell shown
data_Pb2BrOF
_cell_length_a 5.8965
_cell_length_b 13.1894
_cell_length_c 5.9284
_cell_angle_alpha 90.00
_cell_angle_beta 90.00
_cell_angle_gamma 90.00
_space_group_name_H-M_alt 'C m m e'
_space_group_IT_number 67
_space_group_name_Hall '-C 2a 2'
loop_
_atom_site_label
_atom_site_type_symbol
_atom_site_fract_x
_atom_site_fract_y
_atom_site_fract_z
_atom_site_occupancy
Pb1 Pb 0.0000 0.0981 0.2192 1
Br1 Br 0.0000 0.2500 0.7746 1
O1 O 0.2500 0.0000 0.0000 1
F1 F 0.2500 0.0000 0.5000 1


(2)
# Y10Tl3Sb3 PBE-GGA optimized geometry
# DOS(E_F) = 13.0 states/eV/cell
# V = 458.81 Å³/cell
# ΔE_f (raw) = -15.65 kcal/mol of atoms
# E_tot = -94.97 eV for the cell shown
data_Y10Tl3Sb3
_cell_length_a 8.9698
_cell_length_b 8.9698
_cell_length_c 6.5847
_cell_angle_alpha 90.00
_cell_angle_beta 90.00
_cell_angle_gamma 120.00
_space_group_name_H-M_alt 'P -6 2 m'
_space_group_IT_number 189
_space_group_name_Hall 'P -6 -2'
loop_
_atom_site_label
_atom_site_type_symbol
_atom_site_fract_x
_atom_site_fract_y
_atom_site_fract_z
_atom_site_occupancy
Y1 Y 0.0000 0.2384 0.0000 1
Y2 Y 0.0000 0.7623 0.5000 1
Y3 Y 0.3333 0.6667 0.2518 1
Tl1 Tl 0.0000 0.3949 0.5000 1
Sb1 Sb 0.0000 0.6059 0.0000 1


(3)
# Li2AgSnH PBE-GGA optimized geometry
# DOS(E_F) = 1.2 states/eV/cell
# V = 72.84 Å³/cell
# E_tot = -15.09 eV for the cell shown
data_Li2AgSnH
_cell_length_a 4.3095
_cell_length_b 4.3095
_cell_length_c 3.9218
_cell_angle_alpha 90.00
_cell_angle_beta 90.00
_cell_angle_gamma 90.00
_space_group_name_H-M_alt 'P 4/m m m'
_space_group_IT_number 123
_space_group_name_Hall '-P 4 2'
loop_
_atom_site_label
_atom_site_type_symbol
_atom_site_fract_x
_atom_site_fract_y
_atom_site_fract_z
_atom_site_occupancy
Li1 Li 0.0000 0.5000 0.0000 1
Ag1 Ag 0.0000 0.0000 0.5000 1
Sn1 Sn 0.5000 0.5000 0.5000 1
H1 H 0.0000 0.0000 0.0000 1


(4)
# CaErSc PBE-GGA optimized geometry
# DOS(E_F) = 5.9 states/eV/cell
# V = 93.61 Å³/cell
# formation energy = 142 meV/atom
# E_tot = -12.47 eV for the cell shown
data_CaErSc
_cell_length_a 3.5097
_cell_length_b 3.5097
_cell_length_c 8.7744
_cell_angle_alpha 90.00
_cell_angle_beta 90.00
_cell_angle_gamma 120.00
_space_group_name_H-M_alt 'P 3 m 1'
_space_group_IT_number 156
_space_group_name_Hall 'P 3 -2"'
loop_
_atom_site_label
_atom_site_type_symbol
_atom_site_fract_x
_atom_site_fract_y
_atom_site_fract_z
_atom_site_occupancy
Ca1 Ca 0.0000 0.0000 0.0000 1
Er1 Er 0.3333 0.6667 0.6363 1
Sc1 Sc 0.6667 0.3333 0.3404 1